Entry 1:
A plane-wave DFT calculation with PBE was carried out for a relaxed LaY5Er2Th crystal.

Results
DFT formation energy: 16.2 kJ/mol of atoms

Cell lengths 10.931, 10.931, 9.863 Å; angles 90.00, 90.00, 149.43 degrees
Atoms (fractional coordinates):
La 0.096 0.904 0.500
La 0.904 0.096 0.000
Y 0.027 0.973 0.818
Y 0.113 0.887 0.109
Y 0.197 0.803 0.789
Y 0.234 0.766 0.417
Y 0.486 0.514 0.095
Y 0.514 0.486 0.595
Y 0.766 0.234 0.917
Y 0.803 0.197 0.289
Y 0.887 0.113 0.609
Y 0.973 0.027 0.318
Er 0.371 0.629 0.790
Er 0.389 0.611 0.399
Er 0.611 0.389 0.899
Er 0.629 0.371 0.290
Th 0.308 0.692 0.103
Th 0.692 0.308 0.603



Entry 2:
A plane-wave DFT calculation with PBE was carried out for a relaxed Cs3Pm2PuSe6 crystal.

Results
formation energy without anion corrections: -1.62 eV/atom

Cell lengths 7.581, 7.581, 8.744 Å; angles 98.31, 98.31, 120.00 degrees
Atoms (fractional coordinates):
Cs 0.000 0.000 0.000
Cs 0.332 0.668 0.000
Cs 0.668 0.332 0.000
Pm 0.167 0.833 0.500
Pm 0.833 0.167 0.500
Pu 0.500 0.500 0.500
Se 0.106 0.438 0.313
Se 0.232 0.232 0.688
Se 0.438 0.106 0.313
Se 0.562 0.894 0.687
Se 0.768 0.768 0.312
Se 0.894 0.562 0.687



Entry 3:
A plane-wave DFT calculation with PBE was carried out for a relaxed CeSe4 crystal.

Results
formation energy without anion corrections: -0.16 eV/atom

Cell lengths 5.574, 5.574, 5.574 Å; angles 90.00, 90.00, 90.00 degrees
Atoms (fractional coordinates):
Ce 0.000 0.000 0.000
Se 0.000 0.000 0.500
Se 0.000 0.500 0.000
Se 0.500 0.000 0.000
Se 0.500 0.500 0.500



| no. | ρ (Mg/m³) |
| --- | --- |
| 1 | 6.4 |
| 2 | 5.6 |
| 3 | 4.4 |